Entry 1:
## NiMo2Ru (GGA-PBE)

Data for NiMo2Ru after structural relaxation.

Energy relative to the elements: 0.020 eV per atom
Energy: -9.16 eV per atom
Crystal system: orthorhombic
Magnetization: 0.000 μB per atom

Cell lengths 2.764, 4.352, 4.716 Å; angles 90.00, 90.00, 90.00 degrees
Sites, in units of the cell vectors:
Ni1 0.000 0.000 0.000
Mo1 0.500 0.000 0.495
Mo2 0.500 0.500 0.143
Ru1 0.000 0.500 0.657



Entry 2:
## SrNdEuY (GGA-PBE)

Data for SrNdEuY after structural relaxation.

Energy relative to the elements: 0.183 eV per atom
Energy: -5.61 eV per atom
Crystal system: cubic
Magnetization: 1.932 μB per atom

Cell lengths 8.552, 8.552, 8.552 Å; angles 90.00, 90.00, 90.00 degrees
Sites, in units of the cell vectors:
Sr1 0.000 0.000 0.000
Sr2 0.000 0.500 0.500
Sr3 0.500 0.000 0.500
Sr4 0.500 0.500 0.000
Nd1 0.000 0.000 0.500
Nd2 0.000 0.500 0.000
Nd3 0.500 0.000 0.000
Nd4 0.500 0.500 0.500
Eu1 0.250 0.250 0.750
Eu2 0.250 0.750 0.250
Eu3 0.750 0.250 0.250
Eu4 0.750 0.750 0.750
Y1 0.250 0.250 0.250
Y2 0.250 0.750 0.750
Y3 0.750 0.250 0.750
Y4 0.750 0.750 0.250



Entry 3:
## Ba2Pd2RhO6 (GGA-PBE)

Data for Ba2Pd2RhO6 after structural relaxation.

Formation energy from raw total energies: -1247.5 kJ/mol of formula units
Energy: -5.84 eV per atom
Crystal system: trigonal
Magnetization: 0.001 μB per atom

Cell lengths 6.515, 6.515, 6.515 Å; angles 55.88, 55.88, 55.88 degrees
Sites, in units of the cell vectors:
Ba1 0.218 0.218 0.218
Ba2 0.782 0.782 0.782
Pd1 0.408 0.408 0.408
Pd2 0.592 0.592 0.592
Rh1 0.000 0.000 0.000
O1 0.211 0.774 0.774
O2 0.226 0.226 0.789
O3 0.226 0.789 0.226
O4 0.774 0.211 0.774
O5 0.774 0.774 0.211
O6 0.789 0.226 0.226